CsTcPd: relaxed, GGA-PBE.

* space group: P1 (1)
* relative energy among the computed polymorphs: 123 meV/atom
* density: 5.73 g cm⁻³
* calculated volume: 195.4 Å³ per cell
* ΔH_f (0 K): 0.398 eV per atom
* crystal system: triclinic

Structure (POSCAR):
```
CsTcPd
1.0
-3.120 -1.391 -2.429
-3.795 -10.198 6.851
-2.368 2.176 1.795
Tc Pd Cs
2 2 2
Cartesian
-4.331 0.230 0.798
-3.398 -1.887 0.815
-3.108 -0.422 3.219
-1.513 0.166 0.832
-6.345 -8.742 4.659
-5.140 -3.152 3.775
```